Entry 1:
DFT (PBE) results for an optimized crystal structure of Sm3Dy6ErTm2.

Summary:
ΔH_f (0 K) in eV per formula unit: 0.23
VASP energy in Ry/atom: -0.337
Symmetry: C2/m (12)

a b c (Å): 6.149 6.149 11.760
angles (deg): 94.99 94.99 119.96
Fractional coordinates of all 12 atoms:
1 Sm 0.000 0.000 0.000
2 Sm 0.333 0.667 0.000
3 Sm 0.667 0.333 0.000
4 Dy 0.084 0.418 0.254
5 Dy 0.249 0.249 0.746
6 Dy 0.418 0.084 0.254
7 Dy 0.582 0.916 0.746
8 Dy 0.751 0.751 0.254
9 Dy 0.916 0.582 0.746
10 Er 0.500 0.500 0.500
11 Tm 0.167 0.833 0.500
12 Tm 0.833 0.167 0.500

***

Entry 2:
DFT (PBE) results for an optimized crystal structure of Sm2Dy6ErTm.

Summary:
ΔH_f (0 K) in eV per formula unit: 1.17
VASP energy in Ry/atom: -0.330
Symmetry: C2/c (15)

a b c (Å): 8.746 8.746 9.610
angles (deg): 94.39 94.39 118.11
Fractional coordinates of all 20 atoms:
1 Sm 0.195 0.299 0.043
2 Sm 0.299 0.195 0.543
3 Sm 0.701 0.805 0.457
4 Sm 0.805 0.701 0.957
5 Dy 0.019 0.574 0.187
6 Dy 0.126 0.749 0.557
7 Dy 0.251 0.874 0.943
8 Dy 0.291 0.502 0.380
9 Dy 0.426 0.981 0.313
10 Dy 0.498 0.709 0.120
11 Dy 0.502 0.291 0.880
12 Dy 0.574 0.019 0.687
13 Dy 0.709 0.498 0.620
14 Dy 0.749 0.126 0.057
15 Dy 0.874 0.251 0.443
16 Dy 0.981 0.426 0.813
17 Er 0.020 0.980 0.250
18 Er 0.980 0.020 0.750
19 Tm 0.408 0.592 0.750
20 Tm 0.592 0.408 0.250

***

Entry 3:
DFT (PBE) results for an optimized crystal structure of Sm2DyEr4Tm.

Summary:
ΔH_f (0 K) in eV per formula unit: 3.53
VASP energy in Ry/atom: -0.305
Symmetry: C2/c (15)

a b c (Å): 9.456 9.456 6.761
angles (deg): 110.94 110.94 88.71
Fractional coordinates of all 16 atoms:
1 Sm 0.000 0.000 0.000
2 Sm 0.000 0.000 0.500
3 Sm 0.000 0.500 0.000
4 Sm 0.500 0.000 0.500
5 Dy 0.000 0.500 0.500
6 Dy 0.500 0.000 0.000
7 Er 0.252 0.255 0.505
8 Er 0.253 0.746 0.999
9 Er 0.254 0.747 0.501
10 Er 0.255 0.252 0.005
11 Er 0.745 0.748 0.995
12 Er 0.746 0.253 0.499
13 Er 0.747 0.254 0.001
14 Er 0.748 0.745 0.495
15 Tm 0.500 0.500 0.000
16 Tm 0.500 0.500 0.500

***

Entry 4:
DFT (PBE) results for an optimized crystal structure of SmDyEr2Tm2.

Summary:
ΔH_f (0 K) in eV per formula unit: 1.71
VASP energy in Ry/atom: -0.315
Symmetry: Pnnm (58)

a b c (Å): 6.488 17.579 3.372
angles (deg): 90.00 90.00 90.00
Fractional coordinates of all 12 atoms:
1 Sm 0.000 0.000 0.000
2 Sm 0.500 0.500 0.500
3 Dy 0.000 0.500 0.000
4 Dy 0.500 0.000 0.500
5 Er 0.225 0.185 0.000
6 Er 0.275 0.685 0.500
7 Er 0.725 0.315 0.500
8 Er 0.775 0.815 0.000
9 Tm 0.223 0.351 0.500
10 Tm 0.277 0.851 0.000
11 Tm 0.723 0.149 0.000
12 Tm 0.777 0.649 0.500

***

Entry 5:
DFT (PBE) results for an optimized crystal structure of Sm2DyEr5Tm.

Summary:
ΔH_f (0 K) in eV per formula unit: 2.57
VASP energy in Ry/atom: -0.317
Symmetry: I4/mcm (140)

a b c (Å): 9.819 9.819 9.819
angles (deg): 128.20 128.20 76.30
Fractional coordinates of all 18 atoms:
1 Sm 0.117 0.617 0.734
2 Sm 0.383 0.117 0.500
3 Sm 0.617 0.883 0.500
4 Sm 0.883 0.383 0.266
5 Dy 0.250 0.250 0.000
6 Dy 0.750 0.750 0.000
7 Er 0.000 0.000 0.000
8 Er 0.072 0.149 0.500
9 Er 0.149 0.649 0.077
10 Er 0.351 0.428 0.500
11 Er 0.428 0.928 0.077
12 Er 0.500 0.500 0.000
13 Er 0.572 0.072 0.923
14 Er 0.649 0.572 0.500
15 Er 0.851 0.351 0.923
16 Er 0.928 0.851 0.500
17 Tm 0.250 0.750 0.500
18 Tm 0.750 0.250 0.500

***

Entry 6:
DFT (PBE) results for an optimized crystal structure of Sm5DyErTm2.

Summary:
ΔH_f (0 K) in eV per formula unit: 1.36
VASP energy in Ry/atom: -0.330
Symmetry: Cmc2_1 (36)

a b c (Å): 10.443 10.443 10.627
angles (deg): 90.00 90.00 148.92
Fractional coordinates of all 18 atoms:
1 Sm 0.017 0.983 0.500
2 Sm 0.280 0.720 0.792
3 Sm 0.299 0.701 0.188
4 Sm 0.387 0.613 0.503
5 Sm 0.482 0.518 0.222
6 Sm 0.518 0.482 0.722
7 Sm 0.613 0.387 0.003
8 Sm 0.701 0.299 0.688
9 Sm 0.720 0.280 0.292
10 Sm 0.983 0.017 0.000
11 Dy 0.199 0.801 0.492
12 Dy 0.801 0.199 0.992
13 Er 0.410 0.590 0.940
14 Er 0.590 0.410 0.440
15 Tm 0.111 0.889 0.220
16 Tm 0.114 0.886 0.792
17 Tm 0.886 0.114 0.292
18 Tm 0.889 0.111 0.720